# 1
Density functional theory data (PBE-GGA) for a geometry-optimized Er3FeCo8 structure.

Computed properties:
Total magnetization   0.981 μB per atom
E_form   -0.2020 eV/atom
Electronic total energy   -243.82 eV for the cell shown

Cell lengths 4.9724, 4.9724, 23.9091 Å; angles 90.00, 90.00, 120.00 degrees
Space group R-3m (No. 166, hexagonal axes)
Symmetry-distinct sites (fractional):
Er (0.0000, 0.0000, 0.0000) (multiplicity 3)
Er (0.0000, 0.0000, 0.1395) (multiplicity 6)
Fe (0.0000, 0.0000, 0.5000) (multiplicity 3)
Co (0.0000, 0.0000, 0.3343) (multiplicity 6)
Co (0.0034, 0.5017, 0.9180) (multiplicity 18)

# 2
Density functional theory data (PBE-GGA) for a geometry-optimized Li2Mg3GePt2 structure.

Computed properties:
Total magnetization   0.000 μB per atom
Electronic total energy   -30.28 eV for the cell shown

Cell lengths 4.462, 4.462, 6.331 Å; angles 90.00, 90.00, 90.00 degrees
Space group P-4m2 (No. 115)
Symmetry-distinct sites (fractional):
Li (0.000, 0.500, 0.237) (multiplicity 2)
Mg (0.000, 0.000, 0.000) (multiplicity 1)
Mg (0.000, 0.000, 0.500) (multiplicity 1)
Mg (0.500, 0.500, 0.500) (multiplicity 1)
Ge (0.500, 0.500, 0.000) (multiplicity 1)
Pt (0.000, 0.500, 0.763) (multiplicity 2)

# 3
Density functional theory data (PBE-GGA) for a geometry-optimized SrPaSb structure.

Computed properties:
Total magnetization   0.957 μB per atom
Electronic total energy   -58.93 eV for the cell shown

Cell lengths 7.540, 7.540, 7.540 Å; angles 90.00, 90.00, 90.00 degrees
Space group F-43m (No. 216)
Symmetry-distinct sites (fractional):
Sr (0.000, 0.000, 0.000) (multiplicity 4)
Pa (0.000, 0.000, 0.500) (multiplicity 4)
Sb (0.250, 0.250, 0.750) (multiplicity 4)

# 4
Density functional theory data (PBE-GGA) for a geometry-optimized Sr2ZrPtN6 structure.

Computed properties:
Total magnetization   0.009 μB per atom
Electronic total energy   -133.54 eV for the cell shown

Cell lengths 10.041, 5.818, 5.809 Å; angles 90.00, 125.11, 90.00 degrees
Space group C2/m (No. 12)
Symmetry-distinct sites (fractional):
Sr (0.250, 0.000, 0.249) (multiplicity 4)
Zr (0.000, 0.000, 0.500) (multiplicity 2)
Pt (0.000, 0.500, 0.000) (multiplicity 2)
N (0.001, 0.257, 0.760) (multiplicity 8)
N (0.243, 0.500, 0.246) (multiplicity 4)

# 5
Density functional theory data (PBE-GGA) for a geometry-optimized Rb2PdCl6 structure.

Computed properties:
Electronic total energy   -57.33 eV for the cell shown

Cell lengths 12.281, 7.106, 7.099 Å; angles 90.00, 125.20, 90.00 degrees
Space group C2/m (No. 12)
Symmetry-distinct sites (fractional):
Rb (0.248, 0.000, 0.249) (multiplicity 4)
Pd (0.000, 0.500, 0.000) (multiplicity 2)
Cl (0.006, 0.266, 0.772) (multiplicity 8)
Cl (0.234, 0.500, 0.245) (multiplicity 4)

# 6
Density functional theory data (PBE-GGA) for a geometry-optimized BaLuAuO3 structure.

Computed properties:
Total magnetization   0.000 μB per atom
Electronic total energy   -153.42 eV for the cell shown

Cell lengths 3.602, 13.683, 8.639 Å; angles 90.00, 90.00, 90.00 degrees
Space group Cmcm (No. 63)
Symmetry-distinct sites (fractional):
Ba (0.000, 0.184, 0.250) (multiplicity 4)
Lu (0.000, 0.500, 0.000) (multiplicity 4)
Au (0.000, 0.112, 0.750) (multiplicity 4)
O (0.000, 0.103, 0.516) (multiplicity 8)
O (0.000, 0.448, 0.750) (multiplicity 4)

# 7
Density functional theory data (PBE-GGA) for a geometry-optimized Sr2ScOsS6 structure.

Computed properties:
Total magnetization   0.148 μB per atom
Electronic total energy   -115.37 eV for the cell shown

Cell lengths 11.617, 6.711, 6.941 Å; angles 90.00, 125.60, 90.00 degrees
Space group C2/m (No. 12)
Symmetry-distinct sites (fractional):
Sr (0.250, 0.000, 0.238) (multiplicity 4)
Sc (0.000, 0.000, 0.500) (multiplicity 2)
Os (0.000, 0.500, 0.000) (multiplicity 2)
S (0.049, 0.255, 0.811) (multiplicity 8)
S (0.241, 0.500, 0.332) (multiplicity 4)

# 8
Density functional theory data (PBE-GGA) for a geometry-optimized Be2Au3 structure.

Computed properties:
Electronic total energy   -35.88 eV for the cell shown

Cell lengths 6.723, 6.723, 3.086 Å; angles 90.00, 90.00, 90.00 degrees
Space group P4/mbm (No. 127)
Symmetry-distinct sites (fractional):
Be (0.132, 0.368, 0.000) (multiplicity 4)
Au (0.000, 0.000, 0.000) (multiplicity 2)
Au (0.154, 0.654, 0.500) (multiplicity 4)

What is the formula in the third record?
SrPaSb

Which value of electronic total energy does entry 5 give?
-57.33 eV for the cell shown

What is the formula in the third record?
SrPaSb